The following is a DFT calculation (PBE-GGA) of a geometry-optimized Er2U2AlRu5 structure.

Results
formation energy = -233 meV per atom

abc: 10.660 10.660 3.270
angles: 90.00 90.00 90.00
Space group P4/mbm (No. 127)
Inequivalent atoms, fractional coordinates:
Er: 0.161 0.339 0.000 (multiplicity 4)
U: 0.153 0.653 0.000 (multiplicity 4)
Al: 0.000 0.000 0.000 (multiplicity 2)
Ru: 0.000 0.500 0.500 (multiplicity 2)
Ru: 0.058 0.808 0.500 (multiplicity 8)